(1)
The following is a DFT calculation (PBE-GGA) of an optimized crystal structure of Ti2CoSn.

Calculated values
Space group   P4/mmm (123)
Magnetic moment   0.5 μB/f.u.

abc: 3.892 3.892 4.192
angles: 90.00 90.00 90.00
Fractional positions:
1 Ti 0.000 0.500 0.000
2 Ti 0.500 0.000 0.000
3 Co 0.000 0.000 0.500
4 Sn 0.500 0.500 0.500

(2)
The following is a DFT calculation (PBE-GGA) of an optimized crystal structure of Ti8Co2Sn.

Calculated values
Space group   C2/m (12)
Magnetic moment   0.0 μB/f.u.

abc: 6.816 6.816 4.704
angles: 98.72 98.72 117.04
Fractional positions:
1 Ti 0.084 0.084 0.804
2 Ti 0.168 0.409 0.437
3 Ti 0.246 0.754 0.000
4 Ti 0.409 0.168 0.437
5 Ti 0.591 0.832 0.563
6 Ti 0.754 0.246 0.000
7 Ti 0.832 0.591 0.563
8 Ti 0.916 0.916 0.196
9 Co 0.207 0.793 0.500
10 Co 0.793 0.207 0.500
11 Sn 0.500 0.500 0.000

(3)
The following is a DFT calculation (PBE-GGA) of an optimized crystal structure of Ti6Co2Sn.

Calculated values
Space group   Immm (71)
Magnetic moment   0.0 μB/f.u.

abc: 7.247 7.247 7.247
angles: 111.34 109.11 107.98
Fractional positions:
1 Ti 0.023 0.795 0.228
2 Ti 0.245 0.510 0.265
3 Ti 0.245 0.981 0.735
4 Ti 0.276 0.292 0.567
5 Ti 0.276 0.708 0.984
6 Ti 0.434 0.205 0.228
7 Ti 0.566 0.795 0.772
8 Ti 0.724 0.292 0.016
9 Ti 0.724 0.708 0.433
10 Ti 0.755 0.019 0.265
11 Ti 0.755 0.490 0.735
12 Ti 0.977 0.205 0.772
13 Co 0.000 0.143 0.143
14 Co 0.000 0.857 0.857
15 Co 0.366 0.366 0.000
16 Co 0.634 0.634 0.000
17 Sn 0.000 0.500 0.500
18 Sn 0.500 0.000 0.500

(4)
The following is a DFT calculation (PBE-GGA) of an optimized crystal structure of Ti5CoSn2.

Calculated values
Space group   Cmcm (63)
Magnetic moment   0.6 μB/f.u.

abc: 6.743 6.743 11.581
angles: 90.00 90.00 140.30
Fractional positions:
1 Ti 0.112 0.888 0.611
2 Ti 0.112 0.888 0.889
3 Ti 0.307 0.693 0.507
4 Ti 0.307 0.693 0.993
5 Ti 0.313 0.687 0.250
6 Ti 0.687 0.313 0.750
7 Ti 0.693 0.307 0.007
8 Ti 0.693 0.307 0.493
9 Ti 0.888 0.112 0.111
10 Ti 0.888 0.112 0.389
11 Co 0.252 0.748 0.750
12 Co 0.748 0.252 0.250
13 Sn 0.110 0.890 0.129
14 Sn 0.110 0.890 0.371
15 Sn 0.890 0.110 0.629
16 Sn 0.890 0.110 0.871

no.,formation energy (meV/atom)
1,-245
2,-133
3,-227
4,195